1.
DFT (PBE) results for an optimized crystal structure of Ca2Pr2Hg3. Values from VASP.

```
&SYSTEM
  ibrav = 0, nat = 7, ntyp = 3
/
ATOMIC_SPECIES
Ca 40.08 Ca.upf
Pr 140.91 Pr.upf
Hg 200.59 Hg.upf
ATOMIC_POSITIONS angstrom
Ca 0.000 0.000 3.306
Ca 0.000 0.000 22.921
Pr 0.000 0.000 9.878
Pr 0.000 0.000 16.349
Hg 0.000 0.000 6.650
Hg 0.000 0.000 13.114
Hg 0.000 0.000 19.577
CELL_PARAMETERS angstrom
2.680 1.547 8.742
-2.680 1.547 8.742
0.000 -3.095 8.742
```

## Properties
ΔE_f in eV/atom: -0.38

---

2.
DFT (PBE) results for an optimized crystal structure of CaPrHg2. Values from VASP.

```
&SYSTEM
  ibrav = 0, nat = 4, ntyp = 3
/
ATOMIC_SPECIES
Ca 40.08 Ca.upf
Pr 140.91 Pr.upf
Hg 200.59 Hg.upf
ATOMIC_POSITIONS angstrom
Ca 0.000 0.000 0.000
Pr 2.710 2.710 0.000
Hg 0.000 2.710 1.916
Hg 2.710 0.000 1.916
CELL_PARAMETERS angstrom
5.421 0.000 0.000
0.000 5.421 0.000
0.000 0.000 3.831
```

## Properties
ΔE_f in eV/atom: -0.53
Offset from the most stable computed form in eV per atom: 0.011

---

3.
DFT (PBE) results for an optimized crystal structure of CaPr2Hg. Values from VASP.

```
&SYSTEM
  ibrav = 0, nat = 4, ntyp = 3
/
ATOMIC_SPECIES
Ca 40.08 Ca.upf
Pr 140.91 Pr.upf
Hg 200.59 Hg.upf
ATOMIC_POSITIONS angstrom
Ca 0.000 0.000 0.000
Pr 1.992 1.992 1.992
Pr 5.975 5.975 5.975
Hg 3.983 3.983 3.983
CELL_PARAMETERS angstrom
0.000 3.983 3.983
3.983 0.000 3.983
3.983 3.983 0.000
```

## Properties
ΔE_f in eV/atom: -0.10
Offset from the most stable computed form in eV per atom: 0.078

---

4.
DFT (PBE) results for an optimized crystal structure of CaPr4Hg5. Values from VASP.

```
&SYSTEM
  ibrav = 0, nat = 10, ntyp = 3
/
ATOMIC_SPECIES
Ca 40.08 Ca.upf
Pr 140.91 Pr.upf
Hg 200.59 Hg.upf
ATOMIC_POSITIONS angstrom
Ca 0.000 0.000 0.000
Pr 0.000 0.000 3.838
Pr 0.000 0.000 7.718
Pr 0.000 0.000 11.623
Pr 0.000 0.000 15.503
Hg 1.922 1.922 1.920
Hg 1.922 1.922 5.794
Hg 1.922 1.922 9.670
Hg 1.922 1.922 13.546
Hg 1.922 1.922 17.421
CELL_PARAMETERS angstrom
3.845 0.000 0.000
0.000 3.845 0.000
0.000 0.000 19.341
```

## Properties
ΔE_f in eV/atom: -0.49

---

5.
DFT (PBE) results for an optimized crystal structure of CaPrHg. Values from VASP.

```
&SYSTEM
  ibrav = 0, nat = 6, ntyp = 3
/
ATOMIC_SPECIES
Ca 40.08 Ca.upf
Pr 140.91 Pr.upf
Hg 200.59 Hg.upf
ATOMIC_POSITIONS angstrom
Ca 0.000 0.000 0.000
Ca 0.000 0.000 3.522
Pr 0.000 3.166 1.761
Pr 2.742 1.583 5.283
Hg 0.000 3.166 5.283
Hg 2.742 1.583 1.761
CELL_PARAMETERS angstrom
5.483 0.000 0.000
-2.742 4.749 0.000
0.000 0.000 7.045
```

## Properties
ΔE_f in eV/atom: -0.34
Offset from the most stable computed form in eV per atom: 0.000

---

6.
DFT (PBE) results for an optimized crystal structure of CaPr2Hg. Values from VASP.

```
&SYSTEM
  ibrav = 0, nat = 8, ntyp = 3
/
ATOMIC_SPECIES
Ca 40.08 Ca.upf
Pr 140.91 Pr.upf
Hg 200.59 Hg.upf
ATOMIC_POSITIONS angstrom
Ca 2.408 5.363 6.953
Ca 2.408 -5.363 2.318
Pr 2.408 1.717 5.059
Pr 2.408 1.717 8.848
Pr 2.408 -1.717 0.424
Pr 2.408 -1.717 4.212
Hg 2.408 3.301 2.318
Hg 2.408 -3.301 6.953
CELL_PARAMETERS angstrom
2.408 -6.090 0.000
2.408 6.090 0.000
0.000 0.000 9.271
```

## Properties
ΔE_f in eV/atom: -0.18
Offset from the most stable computed form in eV per atom: 0.001

---

7.
DFT (PBE) results for an optimized crystal structure of CaPrHg2. Values from VASP.

```
&SYSTEM
  ibrav = 0, nat = 4, ntyp = 3
/
ATOMIC_SPECIES
Ca 40.08 Ca.upf
Pr 140.91 Pr.upf
Hg 200.59 Hg.upf
ATOMIC_POSITIONS angstrom
Ca 0.000 0.000 0.000
Pr 3.823 3.823 3.823
Hg 1.911 1.911 1.911
Hg 5.734 5.734 5.734
CELL_PARAMETERS angstrom
0.000 3.823 3.823
3.823 0.000 3.823
3.823 3.823 0.000
```

## Properties
ΔE_f in eV/atom: -0.54
Offset from the most stable computed form in eV per atom: 0.000

---

8.
DFT (PBE) results for an optimized crystal structure of CaPrHg. Values from VASP.

```
&SYSTEM
  ibrav = 0, nat = 6, ntyp = 3
/
ATOMIC_SPECIES
Ca 40.08 Ca.upf
Pr 140.91 Pr.upf
Hg 200.59 Hg.upf
ATOMIC_POSITIONS angstrom
Ca 0.000 0.000 3.251
Ca 0.000 0.000 22.664
Pr 0.000 0.000 9.701
Pr 0.000 0.000 16.214
Hg 0.000 0.000 6.522
Hg 0.000 0.000 19.393
CELL_PARAMETERS angstrom
2.648 1.529 8.638
-2.648 1.529 8.638
0.000 -3.058 8.638
```

## Properties
ΔE_f in eV/atom: -0.21
Offset from the most stable computed form in eV per atom: 0.128

---

9.
DFT (PBE) results for an optimized crystal structure of CaPrHg. Values from VASP.

```
&SYSTEM
  ibrav = 0, nat = 3, ntyp = 3
/
ATOMIC_SPECIES
Ca 40.08 Ca.upf
Pr 140.91 Pr.upf
Hg 200.59 Hg.upf
ATOMIC_POSITIONS angstrom
Ca 0.000 0.000 0.000
Pr 2.642 1.525 1.816
Hg 0.000 3.051 2.976
CELL_PARAMETERS angstrom
5.284 0.000 0.000
-2.642 4.576 0.000
0.000 0.000 3.901
```

## Properties
ΔE_f in eV/atom: -0.21
Offset from the most stable computed form in eV per atom: 0.127

---

10.
DFT (PBE) results for an optimized crystal structure of CaPr4Hg4. Values from VASP.

```
&SYSTEM
  ibrav = 0, nat = 18, ntyp = 3
/
ATOMIC_SPECIES
Ca 40.08 Ca.upf
Pr 140.91 Pr.upf
Hg 200.59 Hg.upf
ATOMIC_POSITIONS angstrom
Ca 2.501 2.501 1.546
Ca 7.504 7.504 4.639
Pr 0.858 6.606 0.935
Pr 1.603 9.148 4.028
Pr 3.400 5.860 4.028
Pr 4.145 8.402 0.935
Pr 5.860 1.603 5.250
Pr 6.606 4.145 2.158
Pr 8.402 0.858 2.158
Pr 9.148 3.400 5.250
Hg 0.193 6.159 4.029
Hg 1.156 9.812 0.936
Hg 3.846 5.196 0.936
Hg 4.810 8.849 4.029
Hg 5.196 1.156 2.157
Hg 6.159 4.810 5.250
Hg 8.849 0.193 5.250
Hg 9.812 3.846 2.157
CELL_PARAMETERS angstrom
10.005 0.000 0.000
0.000 10.005 0.000
0.000 0.000 6.186
```

## Properties
ΔE_f in eV/atom: -0.25

---

11.
DFT (PBE) results for an optimized crystal structure of CaPr5Hg3. Values from VASP.

```
&SYSTEM
  ibrav = 0, nat = 18, ntyp = 3
/
ATOMIC_SPECIES
Ca 40.08 Ca.upf
Pr 140.91 Pr.upf
Hg 200.59 Hg.upf
ATOMIC_POSITIONS angstrom
Ca 0.000 0.000 0.000
Ca 0.000 0.000 3.545
Pr -1.580 2.736 1.772
Pr -3.165 5.481 5.317
Pr 3.159 0.000 1.772
Pr 1.580 2.736 5.317
Pr 0.000 5.478 0.000
Pr 0.000 5.478 3.545
Pr 6.329 0.000 5.317
Pr 4.744 2.739 0.000
Pr 4.744 2.739 3.545
Pr 3.165 5.481 1.772
Hg -1.572 2.723 5.317
Hg -3.172 5.494 1.772
Hg 3.144 0.000 5.317
Hg 1.572 2.723 1.772
Hg 6.344 0.000 1.772
Hg 3.172 5.494 5.317
CELL_PARAMETERS angstrom
9.489 0.000 0.000
-4.744 8.217 0.000
0.000 0.000 7.090
```

## Properties
ΔE_f in eV/atom: -0.30

---

12.
DFT (PBE) results for an optimized crystal structure of Ca4PrHg5. Values from VASP.

```
&SYSTEM
  ibrav = 0, nat = 10, ntyp = 3
/
ATOMIC_SPECIES
Ca 40.08 Ca.upf
Pr 140.91 Pr.upf
Hg 200.59 Hg.upf
ATOMIC_POSITIONS angstrom
Ca 0.000 0.000 1.894
Ca 0.000 0.000 5.655
Ca 0.000 0.000 13.380
Ca 0.000 0.000 17.141
Pr 0.000 0.000 9.518
Hg 1.904 1.904 0.000
Hg 1.904 1.904 3.770
Hg 1.904 1.904 7.562
Hg 1.904 1.904 11.473
Hg 1.904 1.904 15.265
CELL_PARAMETERS angstrom
3.807 0.000 0.000
0.000 3.807 0.000
0.000 0.000 19.035
```

## Properties
ΔE_f in eV/atom: -0.54

---

| no. | total DFT energy (no corrections) (eV per cell) | total magnetic moment (Bohr magnetons per cell) |
| --- | --- | --- |
| 1 | -17.12 | 0.00 |
| 2 | -9.52 | 0.00 |
| 3 | -12.27 | 0.00 |
| 4 | -27.55 | 1.41 |
| 5 | -16.18 | 0.00 |
| 6 | -25.15 | 0.00 |
| 7 | -9.56 | 0.00 |
| 8 | -15.42 | 0.00 |
| 9 | -7.71 | 0.00 |
| 10 | -49.15 | 0.00 |
| 11 | -59.02 | 0.00 |
| 12 | -19.67 | 0.19 |